Entry 1:
A plane-wave DFT calculation with PBE-GGA was carried out for an optimized crystal structure of La2PrPdPt2Pb3.

SG: No. 38
DFT total energy: -0.4141 Ry per atom
calculated density: 11.286 g/cm3
M_tot: 0.01 μB per cell
calculated volume: 226 Å³ per cell

POSCAR file:
```
La2PrPdPt2Pb3
1.0
4.178 0.000 0.000
0.000 6.848 3.952
0.000 -6.848 3.952
La Pr Pd Pt Pb
2 1 1 2 3
Direct
0.000 0.206 0.794
0.000 0.794 0.206
0.000 0.616 0.616
0.000 0.206 0.206
0.500 0.539 0.873
0.500 0.873 0.539
0.500 0.206 0.459
0.500 0.459 0.206
0.500 0.952 0.952
```

---

Entry 2:
A plane-wave DFT calculation with PBE-GGA was carried out for an optimized crystal structure of KCuTcTeS2.

SG: No. 63
DFT total energy: -0.3574 Ry per atom
calculated density: 4.656 g/cm3
M_tot: 3.99 μB per cell
calculated volume: 280 Å³ per cell

POSCAR file:
```
KCuTcTeS2
1.0
1.810 -7.836 0.000
1.810 7.836 0.000
0.000 0.000 9.864
K Cu Tc Te S
2 2 2 2 4
Direct
0.218 0.782 0.750
0.782 0.218 0.250
0.467 0.533 0.250
0.533 0.467 0.750
0.000 0.000 0.000
0.000 0.000 0.500
0.086 0.914 0.250
0.914 0.086 0.750
0.398 0.602 0.052
0.398 0.602 0.448
0.602 0.398 0.552
0.602 0.398 0.948
```

---

Entry 3:
A plane-wave DFT calculation with PBE-GGA was carried out for an optimized crystal structure of AcSiPt.

SG: No. 187
DFT total energy: -0.4602 Ry per atom
calculated density: 10.330 g/cm3
M_tot: 0.00 μB per cell
calculated volume: 72 Å³ per cell

POSCAR file:
```
AcSiPt
1.0
4.277 0.000 0.000
-2.138 3.704 0.000
0.000 0.000 4.569
Ac Si Pt
1 1 1
Direct
0.000 0.000 0.000
0.333 0.667 0.500
0.667 0.333 0.500
```

---

Entry 4:
A plane-wave DFT calculation with PBE-GGA was carried out for an optimized crystal structure of YHoGa4Pt2.

SG: No. 38
DFT total energy: -0.3925 Ry per atom
calculated density: 10.341 g/cm3
M_tot: 0.02 μB per cell
calculated volume: 296 Å³ per cell

POSCAR file:
```
YHoGa4Pt2
1.0
6.697 0.000 0.000
0.000 4.360 0.000
0.000 0.000 10.151
Y Ho Ga Pt
2 2 8 4
Direct
0.000 0.000 0.000
0.000 0.500 0.500
0.500 0.000 0.168
0.500 0.500 0.668
0.198 0.000 0.714
0.198 0.500 0.214
0.303 0.000 0.453
0.303 0.500 0.953
0.697 0.000 0.453
0.697 0.500 0.953
0.802 0.000 0.714
0.802 0.500 0.214
0.000 0.000 0.289
0.000 0.500 0.789
0.500 0.000 0.879
0.500 0.500 0.379
```